Crystalline K2AgRh4 at its relaxed geometry, computed with PBE.

Symmetry   I4/mmm
Electronic total energy   -24.39 eV per cell

Cell: 8.519 8.519 8.519 Å, 146.08 146.08 48.72°
Fractional coordinates of all 7 atoms:
K 0.142 0.142 0.000
K 0.858 0.858 0.000
Ag 0.500 0.500 0.000
Rh 0.000 0.500 0.500
Rh 0.339 0.339 0.000
Rh 0.500 0.000 0.500
Rh 0.661 0.661 0.000

---

Crystalline YInCu2 at its relaxed geometry, computed with PBE.

Symmetry   Pmm2
Electronic total energy   -17.84 eV per cell

Cell: 3.168 3.376 7.107 Å, 90.00 90.00 90.00°
Fractional coordinates of all 4 atoms:
Y 0.000 0.000 0.000
In 0.500 0.500 0.661
Cu 0.000 0.000 0.430
Cu 0.500 0.500 0.265

---

Crystalline K2ScTcS at its relaxed geometry, computed with PBE.

Formation energy (no corrections)   802 meV/atom
Symmetry   P4/mmm
Electronic total energy   -19.01 eV per cell

Cell: 5.999 5.999 4.808 Å, 90.00 90.00 90.00°
Fractional coordinates of all 5 atoms:
K 0.000 0.500 0.000
K 0.500 0.000 0.000
Sc 0.000 0.000 0.500
Tc 0.000 0.000 0.000
S 0.500 0.500 0.500

---

Question: Among the records above, which one has the lowest electronic total energy?
Answer: K2AgRh4

---

Question: What is the electronic total energy in the third record?
Answer: -19.01 eV per cell

---

Question: What is the electronic total energy in the second record?
Answer: -17.84 eV per cell